[1]
DFT (PBE-GGA) results for a geometry-optimized La3InAg structure.

## Properties
Formation energy from the elements   -1.1 eV per formula unit

Unit cell a=9.358 b=6.319 c=12.194 alpha=90.00 beta=122.26 gamma=90.00
Space group P2_1/c (No. 14)
Inequivalent atoms, fractional coordinates:
La  0.014  0.116  0.152 [4 per cell]
La  0.299  0.584  0.960 [4 per cell]
La  0.419  0.090  0.184 [4 per cell]
In  0.135  0.629  0.145 [4 per cell]
Ag  0.338  0.111  0.891 [4 per cell]

***

[2]
DFT (PBE-GGA) results for a geometry-optimized La2InAg structure.

## Properties
Formation energy from the elements   -1.5 eV per formula unit

Unit cell a=3.780 b=5.369 c=5.702 alpha=90.00 beta=90.00 gamma=90.00
Space group Pmm2 (No. 25)
Inequivalent atoms, fractional coordinates:
La  0.000  0.000  0.000 [1 per cell]
La  0.000  0.500  0.408 [1 per cell]
In  0.500  0.000  0.518 [1 per cell]
Ag  0.500  0.500  0.881 [1 per cell]